Entry 1:
VASP calculation (GGA-PBE) on a relaxed structure of KRe2As.

```
data_KRe2As
_cell_length_a 3.0191
_cell_length_b 5.8092
_cell_length_c 10.2224
_cell_angle_alpha 90.00
_cell_angle_beta 90.00
_cell_angle_gamma 90.00
_symmetry_space_group_name_H-M 'I m m 2'
_symmetry_Int_Tables_number 44
loop_
_symmetry_equiv_pos_as_xyz
'x,y,z'
'-x,-y,z'
'-x,y,z'
'x,-y,z'
'x+1/2,y+1/2,z+1/2'
'-x+1/2,-y+1/2,z+1/2'
'-x+1/2,y+1/2,z+1/2'
'x+1/2,-y+1/2,z+1/2'
loop_
_atom_site_label
_atom_site_type_symbol
_atom_site_fract_x
_atom_site_fract_y
_atom_site_fract_z
_atom_site_occupancy
K1 K 0.0000 0.0000 0.0000 1
Re1 Re 0.0000 0.0000 0.5014 1
Re2 Re 0.0000 0.5000 0.8218 1
As1 As 0.0000 0.5000 0.2147 1
```

**Calculated formation energy**: 4.25 eV/f.u.
**Total magnetic moment**: 0.00 μB/f.u.

***

Entry 2:
VASP calculation (GGA-PBE) on a relaxed structure of KRe2As.

```
data_KRe2As
_cell_length_a 8.3468
_cell_length_b 3.1026
_cell_length_c 7.2059
_cell_angle_alpha 90.00
_cell_angle_beta 97.73
_cell_angle_gamma 90.00
_symmetry_space_group_name_H-M 'C 1 m 1'
_symmetry_Int_Tables_number 8
loop_
_symmetry_equiv_pos_as_xyz
'x,y,z'
'x,-y,z'
'x+1/2,y+1/2,z'
'x+1/2,-y+1/2,z'
loop_
_atom_site_label
_atom_site_type_symbol
_atom_site_fract_x
_atom_site_fract_y
_atom_site_fract_z
_atom_site_occupancy
K1 K 0.0000 0.0000 0.0000 1
Re1 Re 0.2247 0.0000 0.6239 1
Re2 Re 0.4945 0.0000 0.5136 1
As1 As 0.2665 0.5000 0.3335 1
```

**Calculated formation energy**: 2.06 eV/f.u.
**Total magnetic moment**: 0.54 μB/f.u.

***

Entry 3:
VASP calculation (GGA-PBE) on a relaxed structure of K2ReAs.

```
data_K2ReAs
_cell_length_a 3.6592
_cell_length_b 5.9077
_cell_length_c 11.2610
_cell_angle_alpha 90.00
_cell_angle_beta 90.00
_cell_angle_gamma 90.00
_symmetry_space_group_name_H-M 'I m m 2'
_symmetry_Int_Tables_number 44
loop_
_symmetry_equiv_pos_as_xyz
'x,y,z'
'-x,-y,z'
'-x,y,z'
'x,-y,z'
'x+1/2,y+1/2,z+1/2'
'-x+1/2,-y+1/2,z+1/2'
'-x+1/2,y+1/2,z+1/2'
'x+1/2,-y+1/2,z+1/2'
loop_
_atom_site_label
_atom_site_type_symbol
_atom_site_fract_x
_atom_site_fract_y
_atom_site_fract_z
_atom_site_occupancy
K1 K 0.0000 0.0000 0.0000 1
K2 K 0.0000 0.5000 0.1964 1
Re1 Re 0.0000 0.5000 0.8019 1
As1 As 0.0000 0.0000 0.4319 1
```

**Calculated formation energy**: 2.28 eV/f.u.
**Total magnetic moment**: 0.11 μB/f.u.

***

Entry 4:
VASP calculation (GGA-PBE) on a relaxed structure of K2ReAs.

```
data_K2ReAs
_cell_length_a 12.8238
_cell_length_b 12.8238
_cell_length_c 4.7442
_cell_angle_alpha 90.00
_cell_angle_beta 90.00
_cell_angle_gamma 90.00
_symmetry_space_group_name_H-M 'I -4 2 d'
_symmetry_Int_Tables_number 122
_symmetry_space_group_name_Hall 'I -4 2bw'
loop_
_atom_site_label
_atom_site_type_symbol
_atom_site_fract_x
_atom_site_fract_y
_atom_site_fract_z
_atom_site_occupancy
K1 K 0.0330 0.2500 0.1250 1
Re1 Re 0.0000 0.0000 0.5000 1
As1 As 0.0000 0.0000 0.0000 1
```

**Calculated formation energy**: 2.56 eV/f.u.
**Total magnetic moment**: 2.34 μB/f.u.

***

The lowest calculated formation energy belongs to which entry? number 2

***

What is the calculated formation energy in the fourth record? 2.56 eV/f.u.

***

The highest total magnetic moment belongs to which entry? number 4

***

Which of these has the lowest total magnetic moment? number 1